Density functional theory data (PBE+U) for a relaxed LiFeBO3 crystal.

Lattice parameters (Å, degrees): 5.2165 5.2165 10.3489 90.78 90.78 119.96
Positions (direct):
1 Li 0.0071 0.9929 0.5000
2 Li 0.6633 0.6830 0.7491
3 Li 0.6830 0.6633 0.2491
4 Li 0.9929 0.0071 0.0000
5 Fe 0.0210 0.3413 0.2819
6 Fe 0.3413 0.0210 0.7819
7 Fe 0.3409 0.6702 0.0303
8 Fe 0.6702 0.3409 0.5303
9 B 0.0039 0.3405 0.7892
10 B 0.3352 0.6704 0.5397
11 B 0.3405 0.0039 0.2892
12 B 0.6704 0.3352 0.0397
13 O 0.0645 0.9800 0.3027
14 O 0.0875 0.4061 0.4992
15 O 0.2728 0.5961 0.8188
16 O 0.3127 0.9202 0.5693
17 O 0.3609 0.7587 0.2494
18 O 0.4061 0.0875 0.9992
19 O 0.5961 0.2728 0.3188
20 O 0.6093 0.6883 0.5530
21 O 0.6883 0.6093 0.0530
22 O 0.7587 0.3609 0.7494
23 O 0.9202 0.3127 0.0693
24 O 0.9800 0.0645 0.8027

* total magnetic moment: 16.000 Bohr magnetons per cell
* calculated total energy: -6.913 eV per atom
* distance to the lowest polymorph of the same formula: 0.5 meV/atom
* D(E_F): 0.00 states/eV/f.u.